# 1
# Li3NbO4 | OQMD via LeMat-Bulk | PBE | optimized geometry
data_Li3NbO4
_chemical_formula_sum 'Li6 Nb2 O8'
_symmetry_space_group_name_H-M 'P 1'
_symmetry_Int_Tables_number 1
_symmetry_space_group_name_Hall 'P 1'
_cell_length_a 6.424
_cell_length_b 5.539
_cell_length_c 4.902
_cell_angle_alpha 90.00
_cell_angle_beta 90.00
_cell_angle_gamma 90.00
loop_
_atom_site_label
_atom_site_type_symbol
_atom_site_fract_x
_atom_site_fract_y
_atom_site_fract_z
Li1 Li 0.000 0.182 0.000
Li2 Li 0.246 0.338 0.499
Li3 Li 0.254 0.662 0.999
Li4 Li 0.500 0.818 0.500
Li5 Li 0.746 0.662 0.999
Li6 Li 0.754 0.338 0.499
Nb1 Nb 0.000 0.835 0.506
Nb2 Nb 0.500 0.165 0.006
O1 O 0.000 0.157 0.395
O2 O 0.000 0.834 0.890
O3 O 0.241 0.671 0.394
O4 O 0.259 0.329 0.894
O5 O 0.500 0.166 0.390
O6 O 0.500 0.843 0.895
O7 O 0.741 0.329 0.894
O8 O 0.759 0.671 0.394
# Volume (Å³ per atom): 10.9
# E_tot (eV per cell): -109.08


# 2
# Li2Nb2O5 | OQMD via LeMat-Bulk | PBE | optimized geometry
data_Li2Nb2O5
_chemical_formula_sum 'Li2 Nb2 O5'
_symmetry_space_group_name_H-M 'P 1'
_symmetry_Int_Tables_number 1
_symmetry_space_group_name_Hall 'P 1'
_cell_length_a 3.957
_cell_length_b 3.957
_cell_length_c 7.096
_cell_angle_alpha 90.00
_cell_angle_beta 90.00
_cell_angle_gamma 90.00
loop_
_atom_site_label
_atom_site_type_symbol
_atom_site_fract_x
_atom_site_fract_y
_atom_site_fract_z
Li1 Li 0.000 0.000 0.000
Li2 Li 0.000 0.000 0.500
Nb1 Nb 0.500 0.500 0.219
Nb2 Nb 0.500 0.500 0.781
O1 O 0.000 0.500 0.203
O2 O 0.000 0.500 0.797
O3 O 0.500 0.000 0.203
O4 O 0.500 0.000 0.797
O5 O 0.500 0.500 0.500
# Volume (Å³ per atom): 12.3
# E_tot (eV per cell): -67.54


# 3
# LiNbO4 | OQMD via LeMat-Bulk | PBE | optimized geometry
data_LiNbO4
_chemical_formula_sum 'Li2 Nb2 O8'
_symmetry_space_group_name_H-M 'P 1'
_symmetry_Int_Tables_number 1
_symmetry_space_group_name_Hall 'P 1'
_cell_length_a 4.642
_cell_length_b 5.749
_cell_length_c 5.007
_cell_angle_alpha 90.00
_cell_angle_beta 90.25
_cell_angle_gamma 90.00
loop_
_atom_site_label
_atom_site_type_symbol
_atom_site_fract_x
_atom_site_fract_y
_atom_site_fract_z
Li1 Li 0.000 0.155 0.250
Li2 Li 0.000 0.845 0.750
Nb1 Nb 0.500 0.311 0.750
Nb2 Nb 0.500 0.689 0.250
O1 O 0.219 0.122 0.903
O2 O 0.219 0.878 0.403
O3 O 0.290 0.381 0.404
O4 O 0.290 0.619 0.904
O5 O 0.710 0.381 0.096
O6 O 0.710 0.619 0.596
O7 O 0.781 0.122 0.597
O8 O 0.781 0.878 0.097
# Volume (Å³ per atom): 11.1
# E_tot (eV per cell): -82.38


# 4
# LiNbO4 | OQMD via LeMat-Bulk | PBE | optimized geometry
data_LiNbO4
_chemical_formula_sum 'Li8 Nb8 O32'
_symmetry_space_group_name_H-M 'P 1'
_symmetry_Int_Tables_number 1
_symmetry_space_group_name_Hall 'P 1'
_cell_length_a 5.679
_cell_length_b 10.195
_cell_length_c 10.911
_cell_angle_alpha 115.54
_cell_angle_beta 101.99
_cell_angle_gamma 92.81
loop_
_atom_site_label
_atom_site_type_symbol
_atom_site_fract_x
_atom_site_fract_y
_atom_site_fract_z
Li1 Li 0.000 0.000 0.000
Li2 Li 0.002 0.707 0.735
Li3 Li 0.293 0.723 0.018
Li4 Li 0.494 0.214 0.766
Li5 Li 0.544 0.506 0.050
Li6 Li 0.720 0.244 0.075
Li7 Li 0.828 0.974 0.693
Li8 Li 0.934 0.457 0.431
Nb1 Nb 0.088 0.310 0.939
Nb2 Nb 0.100 0.618 0.218
Nb3 Nb 0.211 0.888 0.515
Nb4 Nb 0.348 0.338 0.248
Nb5 Nb 0.433 0.892 0.837
Nb6 Nb 0.461 0.617 0.544
Nb7 Nb 0.580 0.059 0.214
Nb8 Nb 0.978 0.161 0.564
O1 O 0.028 0.387 0.152
O2 O 0.116 0.651 0.429
O3 O 0.117 0.880 0.692
O4 O 0.167 0.302 0.771
O5 O 0.205 0.557 0.045
O6 O 0.234 0.853 0.933
O7 O 0.245 0.826 0.329
O8 O 0.255 0.126 0.183
O9 O 0.290 0.407 0.432
O10 O 0.305 0.097 0.570
O11 O 0.328 0.656 0.701
O12 O 0.391 0.079 0.836
O13 O 0.409 0.328 0.056
O14 O 0.442 0.573 0.331
O15 O 0.512 0.873 0.180
O16 O 0.521 0.844 0.620
O17 O 0.610 0.660 0.940
O18 O 0.629 0.149 0.439
O19 O 0.668 0.036 0.046
O20 O 0.674 0.311 0.275
O21 O 0.711 0.466 0.803
O22 O 0.744 0.388 0.911
O23 O 0.762 0.812 0.841
O24 O 0.764 0.161 0.682
O25 O 0.773 0.583 0.568
O26 O 0.789 0.642 0.188
O27 O 0.799 0.736 0.949
O28 O 0.889 0.938 0.491
O29 O 0.902 0.530 0.803
O30 O 0.929 0.134 0.909
O31 O 0.932 0.105 0.348
O32 O 0.944 0.331 0.527
# Volume (Å³ per atom): 11.5
# E_tot (eV per cell): -339.91


# 5
# Li3NbO4 | OQMD via LeMat-Bulk | PBE | optimized geometry
data_Li3NbO4
_chemical_formula_sum 'Li6 Nb2 O8'
_symmetry_space_group_name_H-M 'P 1'
_symmetry_Int_Tables_number 1
_symmetry_space_group_name_Hall 'P 1'
_cell_length_a 5.129
_cell_length_b 6.005
_cell_length_c 5.147
_cell_angle_alpha 90.00
_cell_angle_beta 109.27
_cell_angle_gamma 90.00
loop_
_atom_site_label
_atom_site_type_symbol
_atom_site_fract_x
_atom_site_fract_y
_atom_site_fract_z
Li1 Li 0.000 0.098 0.250
Li2 Li 0.000 0.368 0.750
Li3 Li 0.000 0.632 0.250
Li4 Li 0.000 0.902 0.750
Li5 Li 0.500 0.129 0.750
Li6 Li 0.500 0.871 0.250
Nb1 Nb 0.500 0.341 0.250
Nb2 Nb 0.500 0.659 0.750
O1 O 0.255 0.133 0.013
O2 O 0.255 0.867 0.513
O3 O 0.271 0.388 0.497
O4 O 0.271 0.612 0.997
O5 O 0.729 0.388 0.003
O6 O 0.729 0.612 0.503
O7 O 0.745 0.133 0.487
O8 O 0.745 0.867 0.987
# Volume (Å³ per atom): 9.4
# E_tot (eV per cell): -109.03


# 6
# LiNbO3 | OQMD via LeMat-Bulk | PBE | optimized geometry
data_LiNbO3
_chemical_formula_sum 'Li4 Nb4 O12'
_symmetry_space_group_name_H-M 'P 1'
_symmetry_Int_Tables_number 1
_symmetry_space_group_name_Hall 'P 1'
_cell_length_a 5.393
_cell_length_b 7.508
_cell_length_c 5.161
_cell_angle_alpha 90.00
_cell_angle_beta 90.00
_cell_angle_gamma 90.00
loop_
_atom_site_label
_atom_site_type_symbol
_atom_site_fract_x
_atom_site_fract_y
_atom_site_fract_z
Li1 Li 0.032 0.250 0.001
Li2 Li 0.468 0.750 0.501
Li3 Li 0.532 0.250 0.499
Li4 Li 0.968 0.750 0.999
Nb1 Nb 0.000 0.000 0.500
Nb2 Nb 0.000 0.500 0.500
Nb3 Nb 0.500 0.000 0.000
Nb4 Nb 0.500 0.500 0.000
O1 O 0.045 0.750 0.376
O2 O 0.184 0.564 0.822
O3 O 0.184 0.936 0.822
O4 O 0.316 0.064 0.322
O5 O 0.316 0.436 0.322
O6 O 0.455 0.250 0.876
O7 O 0.545 0.750 0.124
O8 O 0.684 0.564 0.678
O9 O 0.684 0.936 0.678
O10 O 0.816 0.064 0.178
O11 O 0.816 0.436 0.178
O12 O 0.955 0.250 0.624
# Volume (Å³ per atom): 10.4
# E_tot (eV per cell): -156.11


# 7
# LiNbO3 | OQMD via LeMat-Bulk | PBE | optimized geometry
data_LiNbO3
_chemical_formula_sum 'Li4 Nb4 O12'
_symmetry_space_group_name_H-M 'P 1'
_symmetry_Int_Tables_number 1
_symmetry_space_group_name_Hall 'P 1'
_cell_length_a 5.139
_cell_length_b 7.819
_cell_length_c 4.772
_cell_angle_alpha 90.00
_cell_angle_beta 90.00
_cell_angle_gamma 90.00
loop_
_atom_site_label
_atom_site_type_symbol
_atom_site_fract_x
_atom_site_fract_y
_atom_site_fract_z
Li1 Li 0.000 0.000 0.000
Li2 Li 0.000 0.500 0.000
Li3 Li 0.500 0.000 0.500
Li4 Li 0.500 0.500 0.500
Nb1 Nb 0.069 0.250 0.453
Nb2 Nb 0.431 0.750 0.953
Nb3 Nb 0.569 0.250 0.047
Nb4 Nb 0.931 0.750 0.547
O1 O 0.080 0.750 0.180
O2 O 0.187 0.589 0.692
O3 O 0.187 0.911 0.692
O4 O 0.313 0.089 0.192
O5 O 0.313 0.411 0.192
O6 O 0.420 0.250 0.680
O7 O 0.580 0.750 0.320
O8 O 0.687 0.589 0.808
O9 O 0.687 0.911 0.808
O10 O 0.813 0.089 0.308
O11 O 0.813 0.411 0.308
O12 O 0.920 0.250 0.820
# Volume (Å³ per atom): 9.6
# E_tot (eV per cell): -154.93


# 8
# LiNb3O8 | OQMD via LeMat-Bulk | PBE | optimized geometry
data_LiNb3O8
_chemical_formula_sum 'Li4 Nb12 O32'
_symmetry_space_group_name_H-M 'P 1'
_symmetry_Int_Tables_number 1
_symmetry_space_group_name_Hall 'P 1'
_cell_length_a 7.482
_cell_length_b 5.031
_cell_length_c 15.302
_cell_angle_alpha 90.00
_cell_angle_beta 107.36
_cell_angle_gamma 90.00
loop_
_atom_site_label
_atom_site_type_symbol
_atom_site_fract_x
_atom_site_fract_y
_atom_site_fract_z
Li1 Li 0.246 0.243 0.082
Li2 Li 0.246 0.257 0.582
Li3 Li 0.754 0.743 0.418
Li4 Li 0.754 0.757 0.918
Nb1 Nb 0.021 0.744 0.164
Nb2 Nb 0.021 0.756 0.664
Nb3 Nb 0.251 0.748 0.427
Nb4 Nb 0.251 0.752 0.927
Nb5 Nb 0.487 0.235 0.331
Nb6 Nb 0.487 0.265 0.831
Nb7 Nb 0.513 0.735 0.169
Nb8 Nb 0.513 0.765 0.669
Nb9 Nb 0.749 0.248 0.073
Nb10 Nb 0.749 0.252 0.573
Nb11 Nb 0.979 0.244 0.336
Nb12 Nb 0.979 0.256 0.836
O1 O 0.006 0.069 0.097
O2 O 0.006 0.431 0.597
O3 O 0.089 0.581 0.785
O4 O 0.089 0.919 0.285
O5 O 0.148 0.073 0.454
O6 O 0.148 0.427 0.954
O7 O 0.239 0.590 0.156
O8 O 0.239 0.910 0.656
O9 O 0.274 0.078 0.844
O10 O 0.274 0.422 0.344
O11 O 0.354 0.597 0.541
O12 O 0.354 0.903 0.041
O13 O 0.408 0.068 0.215
O14 O 0.408 0.432 0.715
O15 O 0.466 0.579 0.902
O16 O 0.466 0.921 0.402
O17 O 0.534 0.079 0.598
O18 O 0.534 0.421 0.098
O19 O 0.592 0.568 0.285
O20 O 0.592 0.932 0.785
O21 O 0.646 0.097 0.959
O22 O 0.646 0.403 0.459
O23 O 0.726 0.578 0.656
O24 O 0.726 0.922 0.156
O25 O 0.761 0.090 0.344
O26 O 0.761 0.410 0.844
O27 O 0.852 0.573 0.046
O28 O 0.852 0.927 0.546
O29 O 0.911 0.081 0.715
O30 O 0.911 0.419 0.215
O31 O 0.994 0.569 0.403
O32 O 0.994 0.931 0.903
# Volume (Å³ per atom): 11.5
# E_tot (eV per cell): -407.69